Version i
An optimized crystal structure of SrSe2BrCl. Source: the Alexandria database, functional GGA-PBE.

Summary:
- Size of the total moment: 4.00 μB/f.u.
- Crystal system: tetragonal
- Space group: P4/mmm, No. 123

Cell: 6.281 5.445 6.281 Å, 90.00 90.00 90.00°
Each line ends with the local moment (μB).
Sites, in units of the cell vectors:
Sr: 0.000 0.000 0.000  -0.01
Se: 0.000 0.000 0.500  0.96
Se: 0.500 0.000 0.000  0.96
Br: 0.500 0.500 0.500  0.50
Cl: 0.000 0.500 0.000  0.06

***

Version ii
An optimized crystal structure of SrSe2BrCl. Source: the Alexandria database, functional GGA-PBE.

Summary:
- Size of the total moment: 0.00 μB/f.u.
- Crystal system: tetragonal
- Space group: P4/mmm, No. 123

Cell: 4.851 4.851 6.340 Å, 90.00 90.00 90.00°
Sites, in units of the cell vectors:
Sr: 0.500 0.500 0.500
Se: 0.000 0.500 0.000
Se: 0.500 0.000 0.000
Br: 0.000 0.000 0.500
Cl: 0.000 0.000 0.000

***

version ii comes first in stability; the runner-up is 0.216 eV/atom higher.

***

Version i
An optimized crystal structure of SrSeBr2Cl. Source: the Alexandria database, functional GGA-PBE.

Summary:
- Size of the total moment: 0.67 μB/f.u.
- Crystal system: tetragonal
- Space group: P4/mmm, No. 123

Cell: 5.497 5.497 5.044 Å, 90.00 90.00 90.00°
Each line ends with the local moment (μB).
Sites, in units of the cell vectors:
Sr: 0.500 0.500 0.500  0.00
Se: 0.000 0.000 0.500  -0.01
Br: 0.000 0.500 0.000  0.16
Br: 0.500 0.000 0.000  0.16
Cl: 0.000 0.000 0.000  0.25

***

Version ii
An optimized crystal structure of SrSeBr2Cl. Source: the Alexandria database, functional GGA-PBE.

Summary:
- Size of the total moment: 3.00 μB/f.u.
- Crystal system: tetragonal
- Space group: P4/mmm, No. 123

Cell: 6.040 5.556 6.040 Å, 90.00 90.00 90.00°
Each line ends with the local moment (μB).
Sites, in units of the cell vectors:
Sr: 0.000 0.000 0.000  0.00
Se: 0.500 0.500 0.500  1.48
Br: 0.000 0.000 0.500  0.21
Br: 0.500 0.000 0.000  0.17
Cl: 0.000 0.500 0.000  0.06

***

Version iii
An optimized crystal structure of SrSeBr2Cl. Source: the Alexandria database, functional GGA-PBE.

Summary:
- Size of the total moment: 3.04 μB/f.u.
- Crystal system: tetragonal
- Space group: P4/mmm, No. 123

Cell: 5.898 5.898 6.487 Å, 90.00 90.00 90.00°
Each line ends with the local moment (μB).
Sites, in units of the cell vectors:
Sr: 0.000 0.000 0.000  -0.01
Se: 0.000 0.000 0.500  1.06
Br: 0.000 0.500 0.000  0.19
Br: 0.500 0.000 0.000  0.19
Cl: 0.500 0.500 0.500  0.54

***

version ii comes first in stability; the runner-up is 0.257 eV/atom higher.

***

Version i
An optimized crystal structure of TeSe2BrCl. Source: the Alexandria database, functional GGA-PBE.

Summary:
- Size of the total moment: 2.08 μB/f.u.
- Crystal system: tetragonal
- Space group: P4/mmm, No. 123

Cell: 5.476 5.476 5.468 Å, 90.00 90.00 90.00°
Each line ends with the local moment (μB).
Sites, in units of the cell vectors:
Te: 0.000 0.000 0.000  -0.06
Se: 0.000 0.500 0.000  0.48
Se: 0.500 0.000 0.000  0.48
Br: 0.000 0.000 0.500  0.05
Cl: 0.500 0.500 0.500  0.45

***

Version ii
An optimized crystal structure of TeSe2BrCl. Source: the Alexandria database, functional GGA-PBE.

Summary:
- Size of the total moment: 0.75 μB/f.u.
- Crystal system: tetragonal
- Space group: P4/mmm, No. 123

Cell: 5.188 5.188 5.037 Å, 90.00 90.00 90.00°
Each line ends with the local moment (μB).
Sites, in units of the cell vectors:
Te: 0.500 0.500 0.500  0.01
Se: 0.000 0.500 0.000  0.21
Se: 0.500 0.000 0.000  0.21
Br: 0.000 0.000 0.500  -0.01
Cl: 0.000 0.000 0.000  0.08

***

version i comes first in stability; the runner-up is 0.356 eV/atom higher.

***

Version i
An optimized crystal structure of TiSe2BrCl. Source: the Alexandria database, functional GGA-PBE.

Summary:
- Size of the total moment: 0.36 μB/f.u.
- Crystal system: tetragonal
- Space group: P4/mmm, No. 123

Cell: 5.092 5.092 4.936 Å, 90.00 90.00 90.00°
Each line ends with the local moment (μB).
Sites, in units of the cell vectors:
Cl: 0.000 0.000 0.000  -0.05
Se: 0.000 0.500 0.000  -0.13
Se: 0.500 0.000 0.000  -0.13
Br: 0.000 0.000 0.500  0.00
Ti: 0.500 0.500 0.500  0.08

***

Version ii
An optimized crystal structure of TiSe2BrCl. Source: the Alexandria database, functional GGA-PBE.

Summary:
- Size of the total moment: 0.02 μB/f.u.
- Crystal system: tetragonal
- Space group: P4/mmm, No. 123

Cell: 4.962 4.962 5.039 Å, 90.00 90.00 90.00°
Sites, in units of the cell vectors:
Cl: 0.500 0.500 0.500
Se: 0.000 0.500 0.000
Se: 0.500 0.000 0.000
Br: 0.000 0.000 0.500
Ti: 0.000 0.000 0.000

***

version ii comes first in stability; the runner-up is 1.136 eV/atom higher.

***

Version i
An optimized crystal structure of WSe2BrCl. Source: the Alexandria database, functional GGA-PBE.

Summary:
- Size of the total moment: 0.00 μB/f.u.
- Crystal system: tetragonal
- Space group: P4/mmm, No. 123

Cell: 4.892 4.892 5.107 Å, 90.00 90.00 90.00°
Sites, in units of the cell vectors:
Se: 0.000 0.500 0.000
Se: 0.500 0.000 0.000
Br: 0.000 0.000 0.500
W: 0.000 0.000 0.000
Cl: 0.500 0.500 0.500

***

Version ii
An optimized crystal structure of WSe2BrCl. Source: the Alexandria database, functional GGA-PBE.

Summary:
- Size of the total moment: 2.97 μB/f.u.
- Crystal system: tetragonal
- Space group: P4/mmm, No. 123

Cell: 5.082 5.082 4.902 Å, 90.00 90.00 90.00°
Each line ends with the local moment (μB).
Sites, in units of the cell vectors:
Se: 0.000 0.500 0.000  -0.36
Se: 0.500 0.000 0.000  -0.36
Br: 0.000 0.000 0.500  0.04
W: 0.500 0.500 0.500  3.10
Cl: 0.000 0.000 0.000  -0.10

***

version i comes first in stability; the runner-up is 1.485 eV/atom higher.

***

Version i
An optimized crystal structure of WSeBr2Cl. Source: the Alexandria database, functional GGA-PBE.

Summary:
- Size of the total moment: 0.00 μB/f.u.
- Crystal system: tetragonal
- Space group: P4/mmm, No. 123

Cell: 5.062 5.062 4.872 Å, 90.00 90.00 90.00°
Sites, in units of the cell vectors:
Se: 0.000 0.000 0.500
Br: 0.000 0.500 0.000
Br: 0.500 0.000 0.000
W: 0.000 0.000 0.000
Cl: 0.500 0.500 0.500

***

Version ii
An optimized crystal structure of WSeBr2Cl. Source: the Alexandria database, functional GGA-PBE.

Summary:
- Size of the total moment: 4.00 μB/f.u.
- Crystal system: tetragonal
- Space group: P4/mmm, No. 123

Cell: 5.026 5.026 5.417 Å, 90.00 90.00 90.00°
Each line ends with the local moment (μB).
Sites, in units of the cell vectors:
Se: 0.000 0.000 0.500  -0.28
Br: 0.000 0.500 0.000  0.01
Br: 0.500 0.000 0.000  0.01
W: 0.500 0.500 0.500  3.29
Cl: 0.000 0.000 0.000  -0.02

***

version i comes first in stability; the runner-up is 1.433 eV/atom higher.

***

Version i
An optimized crystal structure of YSeBr2Cl. Source: the Alexandria database, functional GGA-PBE.

Summary:
- Size of the total moment: 2.03 μB/f.u.
- Crystal system: tetragonal
- Space group: P4/mmm, No. 123

Cell: 5.468 5.468 5.881 Å, 90.00 90.00 90.00°
Each line ends with the local moment (μB).
Sites, in units of the cell vectors:
Y: 0.000 0.000 0.000  -0.01
Se: 0.000 0.000 0.500  0.79
Br: 0.000 0.500 0.000  0.04
Br: 0.500 0.000 0.000  0.04
Cl: 0.500 0.500 0.500  0.47

***

Version ii
An optimized crystal structure of YSeBr2Cl. Source: the Alexandria database, functional GGA-PBE.

Summary:
- Size of the total moment: 0.51 μB/f.u.
- Crystal system: tetragonal
- Space group: P4/mmm, No. 123

Cell: 5.218 5.218 5.250 Å, 90.00 90.00 90.00°
Each line ends with the local moment (μB).
Sites, in units of the cell vectors:
Y: 0.500 0.500 0.500  -0.02
Se: 0.000 0.000 0.500  0.00
Br: 0.000 0.500 0.000  0.12
Br: 0.500 0.000 0.000  0.12
Cl: 0.000 0.000 0.000  0.21

***

version i comes first in stability; the runner-up is 0.861 eV/atom higher.

***

Version i
An optimized crystal structure of ZnSeBr2Cl. Source: the Alexandria database, functional GGA-PBE.

Summary:
- Size of the total moment: 1.75 μB/f.u.
- Crystal system: tetragonal
- Space group: P4/mmm, No. 123

Cell: 4.998 4.998 5.513 Å, 90.00 90.00 90.00°
Each line ends with the local moment (μB).
Sites, in units of the cell vectors:
Zn: 0.000 0.000 0.000  0.00
Se: 0.000 0.000 0.500  0.89
Br: 0.000 0.500 0.000  0.08
Br: 0.500 0.000 0.000  0.08
Cl: 0.500 0.500 0.500  0.12

***

Version ii
An optimized crystal structure of ZnSeBr2Cl. Source: the Alexandria database, functional GGA-PBE.

Summary:
- Size of the total moment: 0.00 μB/f.u.
- Crystal system: tetragonal
- Space group: P4/mmm, No. 123

Cell: 5.280 5.280 5.104 Å, 90.00 90.00 90.00°
Sites, in units of the cell vectors:
Zn: 0.500 0.500 0.500
Se: 0.000 0.000 0.500
Br: 0.000 0.500 0.000
Br: 0.500 0.000 0.000
Cl: 0.000 0.000 0.000

***

version i comes first in stability; the runner-up is 0.419 eV/atom higher.

***

Version i
An optimized crystal structure of ZrSeBr2Cl. Source: the Alexandria database, functional GGA-PBE.

Summary:
- Size of the total moment: 0.98 μB/f.u.
- Crystal system: tetragonal
- Space group: P4/mmm, No. 123

Cell: 5.301 5.301 5.269 Å, 90.00 90.00 90.00°
Each line ends with the local moment (μB).
Sites, in units of the cell vectors:
Se: 0.000 0.000 0.500  0.27
Br: 0.000 0.500 0.000  0.03
Br: 0.500 0.000 0.000  0.03
Zr: 0.000 0.000 0.000  -0.01
Cl: 0.500 0.500 0.500  0.36

***

Version ii
An optimized crystal structure of ZrSeBr2Cl. Source: the Alexandria database, functional GGA-PBE.

Summary:
- Size of the total moment: 1.42 μB/f.u.
- Crystal system: tetragonal
- Space group: P4/mmm, No. 123

Cell: 4.938 4.938 5.772 Å, 90.00 90.00 90.00°
Each line ends with the local moment (μB).
Sites, in units of the cell vectors:
Se: 0.000 0.000 0.500  -0.22
Br: 0.000 0.500 0.000  -0.01
Br: 0.500 0.000 0.000  -0.01
Zr: 0.500 0.500 0.500  1.29
Cl: 0.000 0.000 0.000  -0.05

***

version i comes first in stability; the runner-up is 1.306 eV/atom higher.

***

Version i
An optimized crystal structure of SiBr3Cl. Source: the Alexandria database, functional GGA-PBE.

Summary:
- Size of the total moment: 0.00 μB/f.u.
- Crystal system: triclinic
- Space group: P1, No. 1

Cell: 6.839 6.792 9.554 Å, 89.99 90.04 90.01°
Sites, in units of the cell vectors:
Si: 0.724 0.848 0.299
Si: 0.223 0.505 0.799
Br: 0.543 0.453 0.799
Br: 0.592 0.983 0.111
Br: 0.094 0.371 0.609
Br: 0.043 0.900 0.299
Br: 0.093 0.369 0.987
Br: 0.595 0.982 0.489
Cl: 0.669 0.553 0.299
Cl: 0.169 0.800 0.800

***

Version ii
An optimized crystal structure of SiBr3Cl. Source: the Alexandria database, functional GGA-PBE.

Summary:
- Size of the total moment: 0.86 μB/f.u.
- Crystal system: cubic
- Space group: Pm-3m, No. 221

Cell: 5.084 5.084 5.084 Å, 90.00 90.00 90.00°
Each line ends with the local moment (μB).
Sites, in units of the cell vectors:
Si: 0.000 0.000 0.000  0.01
Br: 0.000 0.500 0.000  -0.05
Br: 0.000 0.000 0.500  -0.08
Br: 0.500 0.000 0.000  -0.08
Cl: 0.500 0.500 0.500  -0.47

***

version i comes first in stability; the runner-up is 0.962 eV/atom higher.

***

Version i
An optimized crystal structure of SmBrCl2. Source: the Alexandria database, functional GGA-PBE.

Summary:
- Size of the total moment: 0.00 μB/f.u.
- Crystal system: monoclinic
- Space group: Cc, No. 9

Cell: 7.167 7.167 7.774 Å, 108.31 108.31 113.21°
Sites, in units of the cell vectors:
Sm: 0.120 0.436 0.417
Sm: 0.436 0.120 0.917
Br: 0.552 0.887 0.631
Br: 0.887 0.552 0.131
Cl: 0.265 0.263 0.657
Cl: 0.678 0.048 0.209
Cl: 0.263 0.265 0.157
Cl: 0.048 0.678 0.709

***

Version ii
An optimized crystal structure of SmBrCl2. Source: the Alexandria database, functional GGA-PBE.

Summary:
- Size of the total moment: 0.00 μB/f.u.
- Crystal system: monoclinic
- Space group: P2_1/m, No. 11

Cell: 3.974 7.380 8.710 Å, 90.00 90.00 105.55°
Sites, in units of the cell vectors:
Sm: 0.740 0.480 0.750
Sm: 0.260 0.520 0.250
Br: 0.906 0.813 0.250
Br: 0.094 0.187 0.750
Cl: 0.333 0.666 0.570
Cl: 0.667 0.334 0.430
Cl: 0.333 0.666 0.930
Cl: 0.667 0.334 0.070

***

version ii comes first in stability; the runner-up is 0.010 eV/atom higher.

***

Version i
An optimized crystal structure of SnBrCl3. Source: the Alexandria database, functional GGA-PBE.

Summary:
- Size of the total moment: 0.01 μB/f.u.
- Crystal system: orthorhombic
- Space group: Pmn2_1, No. 31

Cell: 7.009 7.266 8.497 Å, 90.02 89.98 90.02°
Sites, in units of the cell vectors:
Sn: 0.274 0.858 0.701
Sn: 0.775 0.494 0.201
Br: 0.392 0.539 0.701
Br: 0.892 0.814 0.201
Cl: 0.444 0.484 0.201
Cl: 0.384 0.013 0.922
Cl: 0.885 0.340 0.422
Cl: 0.943 0.869 0.701
Cl: 0.884 0.339 0.979
Cl: 0.384 0.013 0.479

***

Version ii
An optimized crystal structure of SnBrCl3. Source: the Alexandria database, functional GGA-PBE.

Summary:
- Size of the total moment: 1.08 μB/f.u.
- Crystal system: cubic
- Space group: Pm-3m, No. 221

Cell: 5.259 5.259 5.259 Å, 90.00 90.00 90.00°
Each line ends with the local moment (μB).
Sites, in units of the cell vectors:
Sn: 0.000 0.000 0.000  0.01
Br: 0.500 0.500 0.500  0.64
Cl: 0.000 0.500 0.000  0.03
Cl: 0.000 0.000 0.500  0.07
Cl: 0.500 0.000 0.000  0.07

***

version i comes first in stability; the runner-up is 0.480 eV/atom higher.